NiIrO3: optimized geometry, PBE with a Hubbard U.

Structure (POSCAR):
```
NiIrO3
1.0
3.8414 0.0000 0.0000
0.0000 3.8414 0.0000
0.0000 0.0000 3.8414
Ni O Ir
1 3 1
Direct
0.5000 0.5000 0.5000 Ni
0.5000 0.0000 0.0000 O
0.0000 0.5000 0.0000 O
0.0000 0.0000 0.5000 O
0.0000 0.0000 0.0000 Ir
```

Results
Crystal system: cubic
Space-group type: Pm-3m
Spin magnetization (Bohr magnetons per cell): 2.11
Final energy (eV per atom): -4.95